A relaxed Ce3YAs4 crystal. Source: Alexandria, functional GGA-PBE.

Properties
M_tot ... 4.162 μB/cell
Energy above the most stable polymorph in this dataset ... 0 meV per atom
Calculated formation energy ... -1.456 eV per atom

Lattice parameters (Å, degrees): 8.3878 11.8604 4.1965 90.00 90.00 90.00
Closest atoms and distances in Å follow each position.
Space group Cmmm (No. 65)
Asymmetric unit:
1 Ce 0.0000 0.0000 0.0000 x2  6 As 2.98
2 Ce 0.2500 0.2500 0.5000 x4  6 As 2.97
3 Y 0.0000 0.5000 0.0000 x2  6 As 2.95
4 As 0.0000 0.2516 0.0000 x4  1 Y 2.95, 5 Ce 2.97-2.98
5 As 0.2474 0.5000 0.5000 x4  2 Y 2.95, 4 Ce 2.97-2.98

A relaxed CeY3As4 crystal. Source: Alexandria, functional GGA-PBE.

Properties
M_tot ... 1.303 μB/cell
Calculated formation energy ... -1.524 eV per atom

Lattice parameters (Å, degrees): 5.8689 5.8689 11.7229 90.00 90.00 90.00
Closest atoms and distances in Å follow each position.
Space group I4/mmm (No. 139)
Asymmetric unit:
1 Ce 0.0000 0.0000 0.0000 x2  6 As 2.93
2 Y 0.0000 0.0000 0.5000 x2  6 As 2.93
3 Y 0.0000 0.5000 0.2500 x4  6 As 2.93
4 As 0.0000 0.0000 0.2500 x4  1 Ce 2.93, 5 Y 2.93
5 As 0.0000 0.5000 0.0000 x4  4 Y 2.93, 2 Ce 2.93

A relaxed CeYAs2 crystal. Source: Alexandria, functional GGA-PBE.

Properties
M_tot ... 2.461 μB/cell
Energy above the most stable polymorph in this dataset ... 163 meV per atom
Calculated formation energy ... -1.331 eV per atom

Lattice parameters (Å, degrees): 4.1416 4.1416 21.2445 90.00 90.00 120.00
Closest atoms and distances in Å follow each position.
Space group R3m (No. 160, hexagonal axes)
Asymmetric unit:
1 Ce 0.0000 0.0000 0.0000 x3  6 As 2.94-3.01
2 Y 0.0000 0.0000 0.8272 x3  6 As 2.93-3.02
3 As 0.0000 0.0000 0.4139 x3  3 Y 2.93, 3 Ce 2.94
4 As 0.0000 0.0000 0.5803 x3  3 Ce 3.01, 3 Y 3.02

A relaxed Ce3Y5As8 crystal. Source: Alexandria, functional GGA-PBE.

Properties
M_tot ... 5.557 μB/cell
Calculated formation energy ... -1.510 eV per atom

Lattice parameters (Å, degrees): 8.3213 8.3213 20.3553 90.00 90.00 120.00
Closest atoms and distances in Å follow each position.
Space group R-3m (No. 166, hexagonal axes)
Asymmetric unit:
1 Ce 0.0000 0.5000 0.0000 x9  6 As 2.95-2.96
2 Y 0.0000 0.0000 0.0000 x3  6 As 2.94
3 Y 0.0000 0.0000 0.5000 x3  6 As 2.94
4 Y 0.0000 0.5000 0.5000 x9  6 As 2.92-2.93
5 As 0.0000 0.0000 0.2486 x6  3 Y 2.92, 3 Ce 2.96
6 As 0.0012 0.5006 0.7506 x18  4 Y 2.93-2.94, 2 Ce 2.95

A relaxed Ce2Y2As5 crystal. Source: Alexandria, functional GGA-PBE.

Properties
M_tot ... 0.000 μB/cell
Calculated formation energy ... -1.215 eV per atom

Lattice parameters (Å, degrees): 14.5205 7.7359 7.7729 90.00 90.00 90.00
Closest atoms and distances in Å follow each position.
Space group Cmce (No. 64)
Asymmetric unit:
1 Ce 0.1935 0.0000 0.0000 x8  7 As 2.81-3.07
2 Y 0.0000 0.1570 0.3403 x8  8 As 2.90-3.14
3 As 0.0000 0.0000 0.0000 x4  2 Ce 2.81, 4 Y 2.91-2.93
4 As 0.1387 0.1522 0.6500 x16  3 Y 2.90-3.14, 3 Ce 2.95-3.07

A relaxed CeYAs crystal. Source: Alexandria, functional GGA-PBE.

Properties
M_tot ... 1.343 μB/cell
Calculated formation energy ... -0.818 eV per atom

Lattice parameters (Å, degrees): 5.1793 5.1793 6.0988 90.00 90.00 120.00
Closest atoms and distances in Å follow each position.
Space group P6_3/mmc (No. 194)
Asymmetric unit:
1 Ce 0.0000 0.0000 0.0000 x2  2 Ce 3.05, 6 As 3.36, 6 Y 3.36
2 Y 0.3333 0.6667 0.2500 x2  5 As 2.99-3.05
3 As 0.3333 0.6667 0.7500 x2  5 Y 2.99-3.05

A relaxed CeYAs2 crystal. Source: Alexandria, functional GGA-PBE.

Properties
M_tot ... 1.953 μB/cell
Energy above the most stable polymorph in this dataset ... 0 meV per atom
Calculated formation energy ... -1.494 eV per atom

Lattice parameters (Å, degrees): 4.1746 4.1746 20.3967 90.00 90.00 120.00
Closest atoms and distances in Å follow each position.
Space group R-3m (No. 166, hexagonal axes)
Asymmetric unit:
1 Ce 0.0000 0.0000 0.0000 x3  6 As 2.96
2 Y 0.0000 0.0000 0.5000 x3  6 As 2.94
3 As 0.0000 0.0000 0.2488 x6  3 Y 2.94, 3 Ce 2.96

A relaxed CeYAs crystal. Source: Alexandria, functional GGA-PBE.

Properties
M_tot ... 3.218 μB/cell
Calculated formation energy ... -0.688 eV per atom

Lattice parameters (Å, degrees): 3.7224 3.7224 11.5230 90.00 90.00 90.00
Closest atoms and distances in Å follow each position.
Space group I4mm (No. 107)
Asymmetric unit:
1 Ce 0.0000 0.0000 0.0000 x2  4 As 3.14, 1 Y 3.18
2 Y 0.0000 0.0000 0.7239 x2  4 As 3.02, 1 Ce 3.18
3 As 0.0000 0.0000 0.3520 x2  4 Y 3.02, 4 Ce 3.14

A relaxed CeYAs crystal. Source: Alexandria, functional GGA-PBE.

Properties
M_tot ... 2.125 μB/cell
Calculated formation energy ... -0.779 eV per atom

Lattice parameters (Å, degrees): 3.9808 3.9808 6.6145 90.00 90.00 120.00
Closest atoms and distances in Å follow each position.
Space group P3m1 (No. 156)
Asymmetric unit:
1 Ce 0.0000 0.0000 0.0000 x1  3 As 2.91
2 Y 0.6667 0.3333 0.5284 x1  3 As 2.87
3 As 0.3333 0.6667 0.2694 x1  3 Y 2.87, 3 Ce 2.91

A relaxed CeYAs2 crystal. Source: Alexandria, functional GGA-PBE.

Properties
M_tot ... 1.219 μB/cell
Energy above the most stable polymorph in this dataset ... 55 meV per atom
Calculated formation energy ... -1.438 eV per atom

Lattice parameters (Å, degrees): 4.1619 4.1619 13.6481 90.00 90.00 120.00
Closest atoms and distances in Å follow each position.
Space group P6_3/mmc (No. 194)
Asymmetric unit:
1 Ce 0.0000 0.0000 0.0000 x2  6 As 2.94
2 Y 0.3333 0.6667 0.2500 x2  6 As 2.95
3 As 0.3333 0.6667 0.6244 x4  3 Ce 2.94, 3 Y 2.95

A relaxed CeY2As crystal. Source: Alexandria, functional GGA-PBE.

Properties
M_tot ... 5.067 μB/cell
Calculated formation energy ... -0.547 eV per atom

Lattice parameters (Å, degrees): 3.8502 3.8502 28.4408 90.00 90.00 120.00
Closest atoms and distances in Å follow each position.
Space group R-3m (No. 166, hexagonal axes)
Asymmetric unit:
1 Ce 0.0000 0.0000 0.0000 x3  6 Y 3.73, 6 Ce 3.85
2 Y 0.0000 0.0000 0.2278 x6  3 As 2.82
3 As 0.0000 0.0000 0.5000 x3  6 Y 2.82

A relaxed CeY2As3 crystal. Source: Alexandria, functional GGA-PBE.

Properties
M_tot ... 1.239 μB/cell
Calculated formation energy ... -1.515 eV per atom

Lattice parameters (Å, degrees): 4.1592 5.8766 12.4513 90.00 90.00 90.00
Closest atoms and distances in Å follow each position.
Space group Immm (No. 71)
Asymmetric unit:
1 Ce 0.0000 0.0000 0.0000 x2  6 As 2.94-2.95
2 Y 0.0000 0.0000 0.3336 x4  6 As 2.93-2.94
3 As 0.0000 0.5000 0.0000 x2  4 Y 2.94, 2 Ce 2.94
4 As 0.0000 0.5000 0.3321 x4  4 Y 2.93-2.94, 2 Ce 2.95